## one
VASP calculation (GGA-PBE) on a geometry-optimized SrLiTl3 structure.

Results
calculated density = 8.31 Mg/m³

The structure in CIF format:
```
data_SrLiTl3
_symmetry_space_group_name_H-M 'P n m a'
_symmetry_Int_Tables_number 62
_symmetry_space_group_name_Hall '-P 2ac 2n'
_cell_length_a 9.704
_cell_length_b 4.747
_cell_length_c 12.277
_cell_angle_alpha 90.00
_cell_angle_beta 90.00
_cell_angle_gamma 90.00
loop_
_atom_site_label
_atom_site_type_symbol
_atom_site_fract_x
_atom_site_fract_y
_atom_site_fract_z
Sr1 Sr 0.190 0.250 0.004
Li1 Li 0.088 0.250 0.641
Tl1 Tl 0.073 0.250 0.408
Tl2 Tl 0.112 0.750 0.802
Tl3 Tl 0.139 0.750 0.214
```

---

## two
VASP calculation (GGA-PBE) on a geometry-optimized SrLiTl3 structure.

Results
calculated density = 4.87 Mg/m³

The structure in CIF format:
```
data_SrLiTl3
_symmetry_space_group_name_H-M 'P m -3 m'
_symmetry_Int_Tables_number 221
_symmetry_space_group_name_Hall '-P 4 2 3'
_cell_length_a 6.224
_cell_length_b 6.224
_cell_length_c 6.224
_cell_angle_alpha 90.00
_cell_angle_beta 90.00
_cell_angle_gamma 90.00
loop_
_atom_site_label
_atom_site_type_symbol
_atom_site_fract_x
_atom_site_fract_y
_atom_site_fract_z
Sr1 Sr 0.000 0.000 0.000
Li1 Li 0.500 0.500 0.500
Tl1 Tl 0.000 0.000 0.500
```

---

Looking at the structures above, one is most stable, and the difference to the next one is 753 meV per atom.